Record 1
Here is a relaxed Cs2IrBrCl6 crystal from Alexandria via LeMat-Bulk. Energies are from GGA-PBE.

Results
The value obtained for the total energy is -66.61 eV per cell. Its energy above the most stable polymorph in this dataset is 0.0 meV per atom. The calculation puts the uncorrected formation energy at -0.999 eV per atom.

Cell lengths 7.8155, 8.9101, 9.5334 Å; angles 90.00, 90.00, 90.00 degrees
Atoms (fractional coordinates):
Cs1 0.5000 0.7666 0.2543
Cs2 0.0000 0.2334 0.7543
Cs3 0.5000 0.7666 0.7457
Cs4 0.0000 0.2334 0.2457
Ir1 0.5000 0.2346 0.5000
Ir2 0.0000 0.7654 0.0000
Br1 0.0000 0.7140 0.5000
Br2 0.5000 0.2860 0.0000
Cl1 0.5000 0.1880 0.2612
Cl2 0.5000 0.1880 0.7388
Cl3 0.0000 0.8120 0.2388
Cl4 0.0000 0.8120 0.7612
Cl5 0.2788 0.0463 0.5000
Cl6 0.7212 0.0463 0.5000
Cl7 0.2910 0.4222 0.5000
Cl8 0.7090 0.4222 0.5000
Cl9 0.7910 0.5778 0.0000
Cl10 0.2090 0.5778 0.0000
Cl11 0.2212 0.9537 0.0000
Cl12 0.7788 0.9537 0.0000

Record 2
Here is a relaxed PmHoIrPb crystal from Alexandria via LeMat-Bulk. Energies are from GGA-PBE.

Results
Its formation energy is -437 meV per atom. The value obtained for the total energy is -23.64 eV per cell. Its energy above the most stable polymorph in this dataset is 207.9 meV per atom.

Cell lengths 5.1921, 5.1921, 5.1921 Å; angles 60.00, 60.00, 60.00 degrees
Atoms (fractional coordinates):
Pb1 0.5000 0.5000 0.5000
Ir1 0.0000 0.0000 0.0000
Ho1 0.7500 0.7500 0.7500
Pm1 0.2500 0.2500 0.2500

Record 3
Here is a relaxed ScCrRu2 crystal from Alexandria via LeMat-Bulk. Energies are from GGA-PBE.

Results
Its formation energy is 43 meV per atom. The value obtained for the total energy is -34.34 eV per cell.

Cell lengths 4.9770, 4.9770, 2.7906 Å; angles 77.69, 77.69, 112.50 degrees
Atoms (fractional coordinates):
Cr1 0.0000 0.5000 0.5000
Ru1 0.0000 0.0000 0.0000
Ru2 0.5000 0.5000 0.0000
Sc1 0.5000 0.0000 0.5000

Results for V: 33.2 24.7 14.7 (in Å³/atom, following the order of the records).